# LaCeHoMg

A relaxed structure of LaCeHoMg (PBE-GGA, Alexandria). Values from VASP.

Quantum ESPRESSO input file:
```
&SYSTEM
  ibrav = 0, nat = 4, ntyp = 4
/
ATOMIC_SPECIES
La 138.91 La.upf
Ce 140.12 Ce.upf
Ho 164.93 Ho.upf
Mg 24.30 Mg.upf
ATOMIC_POSITIONS angstrom
La 0.0000 0.0000 0.0000
Ce 5.9084 5.9084 5.9084
Ho 3.9389 3.9389 3.9389
Mg 1.9695 1.9695 1.9695
CELL_PARAMETERS angstrom
0.0000 3.9389 3.9389
3.9389 0.0000 3.9389
3.9389 3.9389 0.0000
```

* DFT formation energy: 143 meV per atom
* spin magnetization: 1.1 μB/cell